Record 1
The following is a PBE calculation of a relaxed structure of SrCuOs2, from Alexandria.

```
data_SrCuOs2
_symmetry_space_group_name_H-M 'P 1'
_symmetry_Int_Tables_number 1
_symmetry_space_group_name_Hall 'P 1'
_cell_length_a 4.7836
_cell_length_b 3.8544
_cell_length_c 3.8544
_cell_angle_alpha 90.00
_cell_angle_beta 90.00
_cell_angle_gamma 90.00
loop_
_atom_site_label
_atom_site_type_symbol
_atom_site_fract_x
_atom_site_fract_y
_atom_site_fract_z
Cu1 Cu 0.5000 0.0000 0.5000
Sr1 Sr 0.5000 0.5000 0.0000
Os1 Os 0.0000 0.0000 0.0000
Os2 Os 0.0000 0.5000 0.5000
```

Calculated values
Electronic total energy (eV per atom): -6.10
DFT formation energy (eV per atom): 0.958
Density of states at the Fermi level (states/eV/f.u.): 3.45
Theoretical density (g/cm³): 12.42
Magnetization (μB/f.u.): 0.000
ΔE to the lowest computed polymorph (eV/f.u.): 3.21
Space-group type: P4/mmm, No. 123
Crystal system: tetragonal

Record 2
The following is a PBE calculation of a relaxed structure of MgTlSi2, from Alexandria.

```
data_MgTlSi2
_symmetry_space_group_name_H-M 'P 1'
_symmetry_Int_Tables_number 1
_symmetry_space_group_name_Hall 'P 1'
_cell_length_a 3.7701
_cell_length_b 3.0947
_cell_length_c 7.4744
_cell_angle_alpha 78.45
_cell_angle_beta 90.00
_cell_angle_gamma 90.00
loop_
_atom_site_label
_atom_site_type_symbol
_atom_site_fract_x
_atom_site_fract_y
_atom_site_fract_z
Mg1 Mg 0.5000 0.7834 0.8084
Si1 Si 0.5000 0.0837 0.2028
Si2 Si 0.0000 0.1911 0.9975
Tl1 Tl 0.0000 0.4418 0.4912
```

Calculated values
Electronic total energy (eV per atom): -3.44
Formation energy without anion corrections (eV/atom): 0.258
Density of states at the Fermi level (states/eV/f.u.): 1.70
Theoretical density (g/cm³): 5.54
Magnetization (μB/f.u.): 0.000
ΔE to the lowest computed polymorph (eV/f.u.): 0.40
Space-group type: Pm, No. 6
Crystal system: monoclinic

Record 3
The following is a PBE calculation of a relaxed structure of Tb2Pr3ScS6, from Alexandria.

```
data_Tb2Pr3ScS6
_symmetry_space_group_name_H-M 'P 1'
_symmetry_Int_Tables_number 1
_symmetry_space_group_name_Hall 'P 1'
_cell_length_a 6.8350
_cell_length_b 6.8350
_cell_length_c 7.0061
_cell_angle_alpha 99.38
_cell_angle_beta 99.38
_cell_angle_gamma 120.15
loop_
_atom_site_label
_atom_site_type_symbol
_atom_site_fract_x
_atom_site_fract_y
_atom_site_fract_z
S1 S 0.6020 0.9251 0.7740
S2 S 0.9251 0.6020 0.7740
S3 S 0.0749 0.3980 0.2260
Pr1 Pr 0.5000 0.5000 0.5000
S4 S 0.3980 0.0749 0.2260
Pr2 Pr 0.8296 0.1704 0.5000
Pr3 Pr 0.1704 0.8296 0.5000
Tb1 Tb 0.6664 0.3336 0.0000
Sc1 Sc 0.0000 0.0000 0.0000
Tb2 Tb 0.3336 0.6664 0.0000
S5 S 0.2462 0.2462 0.7701
S6 S 0.7538 0.7538 0.2299
```

Calculated values
Electronic total energy (eV per atom): -6.54
Formation energy without anion corrections (eV/atom): -1.984
Density of states at the Fermi level (states/eV/f.u.): 5.11
Theoretical density (g/cm³): 6.07
Magnetization (μB/f.u.): 0.000
Space-group type: C2/m, No. 12
Crystal system: monoclinic

Record 4
The following is a PBE calculation of a relaxed structure of CuTeSeI2, from Alexandria.

```
data_CuTeSeI2
_symmetry_space_group_name_H-M 'P 1'
_symmetry_Int_Tables_number 1
_symmetry_space_group_name_Hall 'P 1'
_cell_length_a 5.6343
_cell_length_b 5.6343
_cell_length_c 5.6580
_cell_angle_alpha 90.00
_cell_angle_beta 90.00
_cell_angle_gamma 90.00
loop_
_atom_site_label
_atom_site_type_symbol
_atom_site_fract_x
_atom_site_fract_y
_atom_site_fract_z
Cu1 Cu 0.5000 0.5000 0.5000
I1 I 0.0000 0.5000 0.0000
Se1 Se 0.0000 0.0000 0.0000
Te1 Te 0.0000 0.0000 0.5000
I2 I 0.5000 0.0000 0.0000
```

Calculated values
Electronic total energy (eV per atom): -2.05
Formation energy without anion corrections (eV/atom): 0.711
Density of states at the Fermi level (states/eV/f.u.): 5.11
Theoretical density (g/cm³): 4.84
Magnetization (μB/f.u.): 0.000
ΔE to the lowest computed polymorph (eV/f.u.): 1.01
Space-group type: P4/mmm, No. 123
Crystal system: tetragonal

Record 5
The following is a PBE calculation of a relaxed structure of In2BF, from Alexandria.

```
data_In2BF
_symmetry_space_group_name_H-M 'P 1'
_symmetry_Int_Tables_number 1
_symmetry_space_group_name_Hall 'P 1'
_cell_length_a 4.4233
_cell_length_b 4.4233
_cell_length_c 4.4233
_cell_angle_alpha 60.00
_cell_angle_beta 60.00
_cell_angle_gamma 60.00
loop_
_atom_site_label
_atom_site_type_symbol
_atom_site_fract_x
_atom_site_fract_y
_atom_site_fract_z
B1 B 0.0000 0.0000 0.0000
F1 F 0.5000 0.5000 0.5000
In1 In 0.2500 0.2500 0.2500
In2 In 0.7500 0.7500 0.7500
```

Calculated values
Electronic total energy (eV per atom): -3.56
Formation energy without anion corrections (eV/atom): -0.057
Density of states at the Fermi level (states/eV/f.u.): 0.77
Theoretical density (g/cm³): 7.04
Magnetization (μB/f.u.): 0.000
ΔE to the lowest computed polymorph (eV/f.u.): 1.29
Space-group type: Fm-3m, No. 225
Crystal system: cubic

Record 6
The following is a PBE calculation of a relaxed structure of Sr2TaHI, from Alexandria.

```
data_Sr2TaHI
_symmetry_space_group_name_H-M 'P 1'
_symmetry_Int_Tables_number 1
_symmetry_space_group_name_Hall 'P 1'
_cell_length_a 6.1353
_cell_length_b 5.2441
_cell_length_c 6.1353
_cell_angle_alpha 90.00
_cell_angle_beta 90.00
_cell_angle_gamma 90.00
loop_
_atom_site_label
_atom_site_type_symbol
_atom_site_fract_x
_atom_site_fract_y
_atom_site_fract_z
Sr1 Sr 0.0000 0.0000 0.5000
Sr2 Sr 0.5000 0.0000 0.0000
H1 H 0.5000 0.5000 0.5000
I1 I 0.0000 0.5000 0.0000
Ta1 Ta 0.0000 0.0000 0.0000
```

Calculated values
Electronic total energy (eV per atom): -3.23
Density of states at the Fermi level (states/eV/f.u.): 3.32
Theoretical density (g/cm³): 4.07
Magnetization (μB/f.u.): 0.000
Space-group type: P4/mmm, No. 123
Crystal system: tetragonal

Record 7
The following is a PBE calculation of a relaxed structure of ZnSbCl2, from Alexandria.

```
data_ZnSbCl2
_symmetry_space_group_name_H-M 'P 1'
_symmetry_Int_Tables_number 1
_symmetry_space_group_name_Hall 'P 1'
_cell_length_a 9.2314
_cell_length_b 9.2314
_cell_length_c 9.2314
_cell_angle_alpha 22.84
_cell_angle_beta 22.84
_cell_angle_gamma 22.84
loop_
_atom_site_label
_atom_site_type_symbol
_atom_site_fract_x
_atom_site_fract_y
_atom_site_fract_z
Cl1 Cl 0.0304 0.0304 0.0304
Cl2 Cl 0.2313 0.2313 0.2313
Zn1 Zn 0.7476 0.7476 0.7476
Sb1 Sb 0.4908 0.4908 0.4908
```

Calculated values
Electronic total energy (eV per atom): -2.60
Formation energy without anion corrections (eV/atom): -0.331
Density of states at the Fermi level (states/eV/f.u.): 2.18
Theoretical density (g/cm³): 4.12
Magnetization (μB/f.u.): 0.000
ΔE to the lowest computed polymorph (eV/f.u.): 0.87
Space-group type: R3m, No. 160
Crystal system: trigonal

Record 8
The following is a PBE calculation of a relaxed structure of LiMnCu2I, from Alexandria.

```
data_LiMnCu2I
_symmetry_space_group_name_H-M 'P 1'
_symmetry_Int_Tables_number 1
_symmetry_space_group_name_Hall 'P 1'
_cell_length_a 5.0780
_cell_length_b 5.0780
_cell_length_c 4.8703
_cell_angle_alpha 90.00
_cell_angle_beta 90.00
_cell_angle_gamma 90.00
loop_
_atom_site_label
_atom_site_type_symbol
_atom_site_fract_x
_atom_site_fract_y
_atom_site_fract_z
Mn1 Mn 0.5000 0.5000 0.5000
Li1 Li 0.0000 0.0000 0.5000
Cu1 Cu 0.5000 0.0000 0.0000
I1 I 0.0000 0.0000 0.0000
Cu2 Cu 0.0000 0.5000 0.0000
```

Calculated values
Electronic total energy (eV per atom): -3.22
Formation energy without anion corrections (eV/atom): 0.942
Density of states at the Fermi level (states/eV/f.u.): 2.81
Theoretical density (g/cm³): 4.18
Magnetization (μB/f.u.): 4.742
Space-group type: P4/mmm, No. 123
Crystal system: tetragonal

Record 9
The following is a PBE calculation of a relaxed structure of SrLiGeAs2, from Alexandria.

```
data_SrLiGeAs2
_symmetry_space_group_name_H-M 'P 1'
_symmetry_Int_Tables_number 1
_symmetry_space_group_name_Hall 'P 1'
_cell_length_a 6.0534
_cell_length_b 6.0455
_cell_length_c 7.0464
_cell_angle_alpha 115.40
_cell_angle_beta 90.00
_cell_angle_gamma 90.00
loop_
_atom_site_label
_atom_site_type_symbol
_atom_site_fract_x
_atom_site_fract_y
_atom_site_fract_z
As1 As 0.2823 0.1506 0.3012
Ge1 Ge 0.0000 0.5000 0.0000
As2 As 0.2823 0.3494 0.6988
As3 As 0.7177 0.6506 0.3012
Li1 Li 0.5000 0.7500 0.0000
Sr1 Sr 0.2241 0.7500 0.5000
As4 As 0.7177 0.8494 0.6988
Li2 Li 0.5000 0.2500 0.0000
Ge2 Ge 0.0000 0.0000 0.0000
Sr2 Sr 0.7759 0.2500 0.5000
```

Calculated values
Electronic total energy (eV per atom): -3.98
DFT formation energy (eV per atom): -0.473
Density of states at the Fermi level (states/eV/f.u.): 2.48
Theoretical density (g/cm³): 4.52
Magnetization (μB/f.u.): 0.000
Space-group type: Cmme, No. 67
Crystal system: orthorhombic

Record 10
The following is a PBE calculation of a relaxed structure of TbPm2YTm5, from Alexandria.

```
data_TbPm2YTm5
_symmetry_space_group_name_H-M 'P 1'
_symmetry_Int_Tables_number 1
_symmetry_space_group_name_Hall 'P 1'
_cell_length_a 8.5997
_cell_length_b 8.5997
_cell_length_c 9.8190
_cell_angle_alpha 115.97
_cell_angle_beta 115.97
_cell_angle_gamma 90.00
loop_
_atom_site_label
_atom_site_type_symbol
_atom_site_fract_x
_atom_site_fract_y
_atom_site_fract_z
Pm1 Pm 0.1167 0.3833 0.0000
Pm2 Pm 0.6167 0.1167 0.0000
Tm1 Tm 0.9268 0.4268 0.2778
Tm2 Tm 0.4268 0.3510 0.2778
Tm3 Tm 0.1490 0.0732 0.7222
Tm4 Tm 0.5732 0.6490 0.7222
Y1 Y 0.7500 0.2500 0.5000
Pm3 Pm 0.3833 0.8833 0.0000
Tb1 Tb 0.2500 0.2500 0.5000
Tm5 Tm 0.6490 0.1490 0.7222
Pm4 Pm 0.8833 0.6167 0.0000
Tm6 Tm 0.8510 0.9268 0.2778
Y2 Y 0.2500 0.7500 0.5000
Tm7 Tm 0.0000 0.0000 0.0000
Tm8 Tm 0.0732 0.5732 0.7222
Tm9 Tm 0.3510 0.8510 0.2778
Tm10 Tm 0.5000 0.5000 0.0000
Tb2 Tb 0.7500 0.7500 0.5000
```

Calculated values
Electronic total energy (eV per atom): -4.50
DFT formation energy (eV per atom): 0.272
Density of states at the Fermi level (states/eV/f.u.): 10.73
Theoretical density (g/cm³): 8.05
Magnetization (μB/f.u.): 0.000
Space-group type: I4/mcm, No. 140
Crystal system: tetragonal